# GGA-PBEsol V2NiO6, optimized geometry
data_V2NiO6
_cell_length_a 9.800
_cell_length_b 8.781
_cell_length_c 5.681
_cell_angle_alpha 90.00
_cell_angle_beta 111.12
_cell_angle_gamma 90.00
_symmetry_space_group_name_H-M 'C 1 2/c 1'
_symmetry_Int_Tables_number 15
loop_
_symmetry_equiv_pos_as_xyz
'x,y,z'
'-x,-y,-z'
'-x,y,-z+1/2'
'x,-y,z+1/2'
'x+1/2,y+1/2,z'
'-x+1/2,-y+1/2,-z'
'-x+1/2,y+1/2,-z+1/2'
'x+1/2,-y+1/2,z+1/2'
loop_
_atom_site_label
_atom_site_fract_x
_atom_site_fract_y
_atom_site_fract_z
V1 0.205 0.094 0.243
Ni1 0.000 0.418 0.250
O1 0.109 0.419 0.637
O2 0.139 0.018 0.936
O3 0.145 0.271 0.232
# Formation energy (no corrections): -1.93 eV/atom
# E_tot: -8.257 eV per atom

=====

# GGA-PBEsol SrLi2Se2, optimized geometry
data_SrLi2Se2
_cell_length_a 7.482
_cell_length_b 7.482
_cell_length_c 3.559
_cell_angle_alpha 90.00
_cell_angle_beta 90.00
_cell_angle_gamma 90.00
_symmetry_space_group_name_H-M 'P 4/m b m'
_symmetry_Int_Tables_number 127
_symmetry_space_group_name_Hall '-P 4 2ab'
loop_
_atom_site_label
_atom_site_fract_x
_atom_site_fract_y
_atom_site_fract_z
Sr1 0.000 0.000 0.000
Li1 0.115 0.385 0.000
Se1 0.184 0.684 0.500
# Formation energy (no corrections): -1.23 eV/atom
# E_tot: -3.921 eV per atom

=====

# GGA-PBEsol Li5Ca3, optimized geometry
data_Li5Ca3
_cell_length_a 7.762
_cell_length_b 10.939
_cell_length_c 5.420
_cell_angle_alpha 90.00
_cell_angle_beta 90.00
_cell_angle_gamma 90.00
_symmetry_space_group_name_H-M 'C m m m'
_symmetry_Int_Tables_number 65
_symmetry_space_group_name_Hall '-C 2 2'
loop_
_atom_site_label
_atom_site_fract_x
_atom_site_fract_y
_atom_site_fract_z
Li1 0.000 0.000 0.000
Li2 0.249 0.500 0.500
Li3 0.250 0.250 0.000
Ca1 0.000 0.241 0.500
Ca2 0.000 0.500 0.000
# E_form: 0.048 eV/atom
# E_tot: -1.981 eV per atom

=====

# GGA-PBEsol Li2MnRh, optimized geometry
data_Li2MnRh
_cell_length_a 3.567
_cell_length_b 3.567
_cell_length_c 8.365
_cell_angle_alpha 90.00
_cell_angle_beta 90.00
_cell_angle_gamma 90.00
_symmetry_space_group_name_H-M 'I 4/m m m'
_symmetry_Int_Tables_number 139
_symmetry_space_group_name_Hall '-I 4 2'
loop_
_atom_site_label
_atom_site_fract_x
_atom_site_fract_y
_atom_site_fract_z
Li1 0.000 0.500 0.250
Mn1 0.000 0.000 0.000
Rh1 0.000 0.000 0.500
# ΔE to the lowest computed polymorph: 38.9 meV/atom
# E_form: 0.090 eV/atom
# E_tot: -5.369 eV per atom

=====

# GGA-PBEsol HfNb2SbW, optimized geometry
data_HfNb2SbW
_cell_length_a 4.864
_cell_length_b 4.864
_cell_length_c 4.778
_cell_angle_alpha 90.00
_cell_angle_beta 90.00
_cell_angle_gamma 90.00
_symmetry_space_group_name_H-M 'P 4/m m m'
_symmetry_Int_Tables_number 123
_symmetry_space_group_name_Hall '-P 4 2'
loop_
_atom_site_label
_atom_site_fract_x
_atom_site_fract_y
_atom_site_fract_z
Hf1 0.000 0.000 0.000
Nb1 0.000 0.500 0.000
Sb1 0.500 0.500 0.500
W1 0.000 0.000 0.500
# Formation energy (no corrections): 1.77 eV/atom
# E_tot: -8.337 eV per atom

=====

# GGA-PBEsol CaBiF6, optimized geometry
data_CaBiF6
_cell_length_a 5.6241
_cell_length_b 5.6241
_cell_length_c 15.5672
_cell_angle_alpha 90.00
_cell_angle_beta 90.00
_cell_angle_gamma 120.00
_symmetry_space_group_name_H-M 'R -3'
_symmetry_Int_Tables_number 148
_symmetry_space_group_name_Hall '-R 3'
loop_
_atom_site_label
_atom_site_fract_x
_atom_site_fract_y
_atom_site_fract_z
Ca1 0.0000 0.0000 0.0000
Bi1 0.0000 0.0000 0.5000
F1 0.0081 0.6307 0.2476
# Formation energy (no corrections): -2.75 eV/atom
# E_tot: -4.993 eV per atom

=====

> Which value of E_tot does entry 5 give?

-8.337 eV per atom

=====

> Look up the E_tot of the third one.

-1.981 eV per atom